The following is a DFT calculation (GGA-PBE) of an optimized crystal structure of PaBeFe2H8.

```
PaBeFe2H8
1.0
4.030 0.000 0.000
-2.015 3.490 0.000
0.000 0.000 6.289
H Pa Fe Be
8 1 2 1
direct
0.333 0.667 0.458
0.682 0.841 0.795
0.841 0.682 0.205
0.318 0.159 0.205
0.159 0.841 0.795
0.667 0.333 0.542
0.159 0.318 0.795
0.841 0.159 0.205
0.000 0.000 0.500
0.333 0.667 0.947
0.667 0.333 0.053
0.000 0.000 0.000
```

Properties
E_tot	-4.70	eV per atom